Record 1
# BaHSBr2, relaxed, DFT GGA-PBE
# total energy	-14.9	eV per formula unit
# V	25.27	Å³ per atom
# DOS(E_F)	2.31	states/eV/f.u.
# crystal system	tetragonal
data_BaHSBr2
_chemical_formula_sum 'Ba1 H1 S1 Br2'
_symmetry_space_group_name_H-M 'P 4/m m m'
_symmetry_Int_Tables_number 123
_symmetry_space_group_name_Hall '-P 4 2'
_cell_length_a 4.627
_cell_length_b 4.627
_cell_length_c 5.902
_cell_angle_alpha 90.00
_cell_angle_beta 90.00
_cell_angle_gamma 90.00
loop_
_atom_site_label
_atom_site_type_symbol
_atom_site_fract_x
_atom_site_fract_y
_atom_site_fract_z
Ba1 Ba 0.000 0.000 0.000
H1 H 0.000 0.000 0.500
S1 S 0.500 0.500 0.000
Br1 Br 0.000 0.500 0.500

=====

Record 2
# BaSb2HBr, relaxed, DFT GGA-PBE
# total energy	-17.8	eV per formula unit
# V	27.80	Å³ per atom
# DOS(E_F)	1.39	states/eV/f.u.
# crystal system	tetragonal
data_BaSb2HBr
_chemical_formula_sum 'Ba1 Sb2 H1 Br1'
_symmetry_space_group_name_H-M 'P 4/m m m'
_symmetry_Int_Tables_number 123
_symmetry_space_group_name_Hall '-P 4 2'
_cell_length_a 4.540
_cell_length_b 4.540
_cell_length_c 6.742
_cell_angle_alpha 90.00
_cell_angle_beta 90.00
_cell_angle_gamma 90.00
loop_
_atom_site_label
_atom_site_type_symbol
_atom_site_fract_x
_atom_site_fract_y
_atom_site_fract_z
Ba1 Ba 0.000 0.000 0.000
Sb1 Sb 0.000 0.500 0.500
H1 H 0.500 0.500 0.500
Br1 Br 0.500 0.500 0.000

=====

Record 3
# BaHSe2Br, relaxed, DFT GGA-PBE
# V	23.91	Å³ per atom
# DOS(E_F)	1.26	states/eV/f.u.
# crystal system	tetragonal
# polymorph energy (0 for the lowest one)	0.000	kcal/mol of atoms
data_BaHSe2Br
_chemical_formula_sum 'Ba1 H1 Se2 Br1'
_symmetry_space_group_name_H-M 'P 4/m m m'
_symmetry_Int_Tables_number 123
_symmetry_space_group_name_Hall '-P 4 2'
_cell_length_a 4.397
_cell_length_b 4.397
_cell_length_c 6.184
_cell_angle_alpha 90.00
_cell_angle_beta 90.00
_cell_angle_gamma 90.00
loop_
_atom_site_label
_atom_site_type_symbol
_atom_site_fract_x
_atom_site_fract_y
_atom_site_fract_z
Ba1 Ba 0.000 0.000 0.000
H1 H 0.500 0.500 0.500
Se1 Se 0.000 0.500 0.500
Br1 Br 0.500 0.500 0.000